A geometry-optimized Mg4Sn2Hg structure. Source: the Alexandria database, functional PBE-GGA.

Cell: 5.180 5.180 8.310 Å, 108.16 108.16 90.00°
Element x y z (fractional)
Mg: 0.816 0.816 0.632
Mg: 0.184 0.184 0.368
Mg: 0.000 0.500 0.000
Mg: 0.500 0.000 0.000
Sn: 0.624 0.624 0.247
Sn: 0.376 0.376 0.753
Hg: 0.000 0.000 0.000

Results
Its volume is 200.14 Å³/f.u. For the energy above the most stable polymorph in this dataset, the calculation gives 231 meV/atom. Its energy of formation is 0.13 eV/atom.


A geometry-optimized Pm3Mg4Cd4 structure. Source: the Alexandria database, functional PBE-GGA.

Cell: 3.469 5.073 16.134 Å, 80.85 83.80 90.02°
Element x y z (fractional)
Pm: 0.139 0.642 0.718
Pm: 0.861 0.358 0.282
Pm: 0.000 0.000 0.000
Mg: 0.589 0.094 0.815
Mg: 0.264 0.263 0.474
Mg: 0.736 0.737 0.526
Mg: 0.411 0.906 0.185
Cd: 0.547 0.548 0.906
Cd: 0.453 0.452 0.094
Cd: 0.316 0.814 0.369
Cd: 0.684 0.186 0.631

Results
Its volume is 278.69 Å³/f.u. Its energy of formation is -0.24 eV/atom.


A geometry-optimized LiAlSnRh structure. Source: the Alexandria database, functional PBE-GGA.

Cell: 4.455 4.455 4.455 Å, 60.00 60.00 60.00°
Element x y z (fractional)
Li: 0.000 0.000 0.000
Rh: 0.500 0.500 0.500
Sn: 0.250 0.250 0.250
Al: 0.750 0.750 0.750

Results
Its volume is 62.52 Å³/f.u. Its energy of formation is -0.53 eV/atom.


A geometry-optimized ZrAg4 structure. Source: the Alexandria database, functional PBE-GGA.

Cell: 2.993 12.326 2.993 Å, 96.97 60.00 96.97°
Element x y z (fractional)
Ag: 0.003 0.008 0.003
Ag: 0.401 0.203 0.401
Ag: 0.799 0.397 0.799
Ag: 0.197 0.592 0.197
Zr: 0.600 0.800 0.600

Results
Its volume is 94.67 Å³/f.u. Its energy of formation is 0.04 eV/atom.


Which value of energy of formation does entry 4 give? 0.04 eV/atom


Look up the energy of formation of the second one. -0.24 eV/atom


What is the formula in the second record? Pm3Mg4Cd4


energy of formation of number 3 (LiAlSnRh)? -0.53 eV/atom